# Ba2Al6AgPd PBE optimized geometry
# Formation energy ... -0.352 eV per atom
# Density of states at the Fermi level ... 4.26 states/eV/cell
data_Ba2Al6AgPd
_space_group_name_H-M_alt 'C 1 2/m 1'
_space_group_IT_number 12
_space_group_name_Hall '-C 2y'
_cell_length_a 11.627
_cell_length_b 6.700
_cell_length_c 7.299
_cell_angle_alpha 90.00
_cell_angle_beta 122.28
_cell_angle_gamma 90.00
loop_
_atom_site_label
_atom_site_type_symbol
_atom_site_fract_x
_atom_site_fract_y
_atom_site_fract_z
Ba1 Ba 0.202 0.000 0.105
Al1 Al 0.055 0.303 0.365
Al2 Al 0.247 0.000 0.635
Ag1 Ag 0.000 0.500 0.000
Pd1 Pd 0.000 0.000 0.500